1.
This record from Alexandria describes BaAsN at its PBEsol-relaxed geometry. The functional is meta-GGA SCAN.

abc: 5.2146 5.2146 6.5013
angles: 90.00 90.00 120.00
With the nearest neighbours (Å) after each atom.
Fractional coordinates of all 6 atoms:
1 Ba 0.0000 0.0000 0.0000  2 N 2.67
2 Ba 0.3333 0.6667 0.5000  6 N 3.07
3 As 0.6667 0.3333 0.1913  1 As 2.49
4 As 0.6667 0.3333 0.8087  1 As 2.49
5 N 0.0000 0.0000 0.4106  1 N 1.16
6 N 0.0000 0.0000 0.5894  1 N 1.16

Output
D(E_F) = 0.0345 states/eV per atom
crystal system = hexagonal
raw formation energy = -18.39 kcal/mol of atoms

=====

2.
This record from Alexandria describes Li2MnCoO4 at its PBEsol-relaxed geometry. The functional is meta-GGA SCAN.

abc: 9.4548 9.4548 4.8921
angles: 94.48 94.48 17.22
With the nearest neighbours (Å) after each atom.
Fractional coordinates of all 16 atoms:
1 Li 0.0000 0.0000 0.0000  6 O 2.08-2.10
2 Li 0.2487 0.2487 0.7559  6 O 2.06-2.11
3 Li 0.5000 0.5000 0.5000  6 O 2.07-2.09
4 Li 0.7513 0.7513 0.2441  6 O 2.06-2.11
5 Mn 0.1251 0.1251 0.3750  6 O 1.90-1.95
6 Mn 0.8749 0.8749 0.6250  6 O 1.90-1.95
7 Co 0.3751 0.3751 0.1252  6 O 1.92-1.94
8 Co 0.6249 0.6249 0.8748  6 O 1.92-1.94
9 O 0.0700 0.0700 0.6853  1 Mn 1.90, 2 Co 1.94, 3 Li 2.09-2.10
10 O 0.1801 0.1801 0.0642  1 Mn 1.90, 2 Co 1.94, 3 Li 2.06-2.09
11 O 0.3190 0.3190 0.4384  1 Co 1.92, 2 Mn 1.94, 3 Li 2.08-2.11
12 O 0.4310 0.4310 0.8116  1 Co 1.92, 2 Mn 1.95, 3 Li 2.07-2.08
13 O 0.5690 0.5690 0.1884  1 Co 1.92, 2 Mn 1.95, 3 Li 2.07-2.08
14 O 0.6810 0.6810 0.5616  1 Co 1.92, 2 Mn 1.94, 3 Li 2.08-2.11
15 O 0.8199 0.8199 0.9358  1 Mn 1.90, 2 Co 1.94, 3 Li 2.06-2.09
16 O 0.9300 0.9300 0.3147  1 Mn 1.90, 2 Co 1.94, 3 Li 2.09-2.10

Output
D(E_F) = 0.2879 states/eV per atom
crystal system = monoclinic
energy above the lowest structure with this stoichiometry = 27 meV/atom
raw formation energy = -46.40 kcal/mol of atoms

=====

3.
This record from Alexandria describes ErPt5 at its PBEsol-relaxed geometry. The functional is meta-GGA SCAN.

abc: 5.2502 5.2502 4.4096
angles: 90.00 90.00 120.00
With the nearest neighbours (Å) after each atom.
Fractional coordinates of all 6 atoms:
1 Er 0.0000 0.0000 0.0000  6 Pt 3.03
2 Pt 0.0000 0.5000 0.5000  8 Pt 2.63-2.68
3 Pt 0.3333 0.6667 0.0000  6 Pt 2.68
4 Pt 0.5000 0.0000 0.5000  8 Pt 2.63-2.68
5 Pt 0.5000 0.5000 0.5000  8 Pt 2.63-2.68
6 Pt 0.6667 0.3333 0.0000  6 Pt 2.68

Output
energy of formation from the pure elements = -746 meV per atom
D(E_F) = 0.6439 states/eV per atom
crystal system = hexagonal

=====

4.
This record from Alexandria describes Cr2FeCu at its PBEsol-relaxed geometry. The functional is meta-GGA SCAN.

abc: 3.9873 3.9873 3.9873
angles: 60.00 60.00 60.00
With the nearest neighbours (Å) after each atom.
Fractional coordinates of all 4 atoms:
1 Cr 0.2500 0.2500 0.2500  4 Fe 2.44, 4 Cu 2.44
2 Cr 0.7500 0.7500 0.7500  4 Fe 2.44, 4 Cu 2.44
3 Fe 0.0000 0.0000 0.0000  8 Cr 2.44
4 Cu 0.5000 0.5000 0.5000  8 Cr 2.44

Output
energy of formation from the pure elements = 380 meV per atom
D(E_F) = 1.3450 states/eV per atom
crystal system = cubic
energy above the lowest structure with this stoichiometry = 227 meV/atom

=====

5.
This record from Alexandria describes In2Ir at its PBEsol-relaxed geometry. The functional is meta-GGA SCAN.

abc: 8.6566 8.6566 8.6566
angles: 60.00 60.00 60.00
With the nearest neighbours (Å) after each atom.
Fractional coordinates of all 24 atoms:
1 In 0.0000 0.0000 0.0000  6 Ir 2.78, 6 In 3.06
2 In 0.0000 0.0000 0.5000  6 Ir 2.78, 6 In 3.06
3 In 0.0000 0.5000 0.0000  6 Ir 2.78, 6 In 3.06
4 In 0.1769 0.1769 0.5731  2 Ir 2.68
5 In 0.1769 0.5731 0.1769  2 Ir 2.68
6 In 0.1769 0.5731 0.5731  2 Ir 2.68
7 In 0.4269 0.4269 0.8231  2 Ir 2.68
8 In 0.4269 0.8231 0.4269  2 Ir 2.68
9 In 0.4269 0.8231 0.8231  2 Ir 2.68
10 In 0.5000 0.0000 0.0000  6 Ir 2.78, 6 In 3.06
11 In 0.5731 0.1769 0.1769  2 Ir 2.68
12 In 0.5731 0.1769 0.5731  2 Ir 2.68
13 In 0.5731 0.5731 0.1769  2 Ir 2.68
14 In 0.8231 0.4269 0.4269  2 Ir 2.68
15 In 0.8231 0.4269 0.8231  2 Ir 2.68
16 In 0.8231 0.8231 0.4269  2 Ir 2.68
17 Ir 0.1721 0.7760 0.7760  6 In 2.68-2.78
18 Ir 0.2240 0.2240 0.2240  6 In 2.68-2.78
19 Ir 0.2240 0.2240 0.8279  6 In 2.68-2.78
20 Ir 0.2240 0.8279 0.2240  6 In 2.68-2.78
21 Ir 0.7760 0.1721 0.7760  6 In 2.68-2.78
22 Ir 0.7760 0.7760 0.1721  6 In 2.68-2.78
23 Ir 0.7760 0.7760 0.7760  6 In 2.68-2.78
24 Ir 0.8279 0.2240 0.2240  6 In 2.68-2.78

Output
energy of formation from the pure elements = -159 meV per atom
D(E_F) = 0.4208 states/eV per atom
crystal system = cubic

=====

6.
This record from Alexandria describes CrInRe2 at its PBEsol-relaxed geometry. The functional is meta-GGA SCAN.

abc: 2.7625 4.0011 5.5223
angles: 90.00 97.92 90.00
With the nearest neighbours (Å) after each atom.
Fractional coordinates of all 4 atoms:
1 Cr 0.0000 0.0000 0.0000  4 Re 2.52, 2 In 2.76, 2 Cr 2.76
2 In 0.0000 0.0000 0.5000  2 Cr 2.76, 2 In 2.76, 8 Re 2.86-2.90
3 Re 0.4056 0.5000 0.2176  2 Cr 2.52, 3 Re 2.53-2.76
4 Re 0.5944 0.5000 0.7824  2 Cr 2.52, 3 Re 2.53-2.76

Output
energy of formation from the pure elements = 413 meV per atom
D(E_F) = 0.8033 states/eV per atom
crystal system = monoclinic

=====

Question: The highest D(E_F) belongs to which entry?
Answer: Cr2FeCu

=====

Question: Number 1 is which compound?
Answer: BaAsN

=====

Question: The lowest D(E_F) belongs to which entry?
Answer: BaAsN